Entry 1:
A relaxed HgPbBr4 crystal. Source: Alexandria via LeMat-Bulk, functional PBE.

Summary:
* E above lowest polymorph: 0 meV/atom
* ΔE_f (raw): -0.65 eV/atom
* spin magnetization: 0.00 μB per formula unit

Lattice parameters (Å, degrees): 7.363 7.012 10.221 112.00 112.97 84.98
Element x y z (fractional)
Br: 0.019 0.695 0.902
Br: 0.671 0.421 0.390
Br: 0.617 0.793 0.098
Br: 0.383 0.207 0.902
Br: 0.981 0.305 0.098
Br: 0.219 0.970 0.390
Br: 0.329 0.579 0.610
Br: 0.781 0.030 0.610
Pb: 0.681 0.431 0.862
Pb: 0.319 0.569 0.138
Hg: 0.912 0.162 0.325
Hg: 0.088 0.838 0.675

---

Entry 2:
A relaxed MnInCu2S4 crystal. Source: Alexandria via LeMat-Bulk, functional PBE.

Summary:
* ΔE_f (raw): -0.46 eV/atom
* spin magnetization: 4.00 μB per formula unit

Lattice parameters (Å, degrees): 5.476 5.476 6.656 114.29 114.29 90.00
Element x y z (fractional)
Cu: 0.750 0.250 0.500
Cu: 0.250 0.750 0.500
Mn: 0.500 0.500 0.000
S: 0.398 0.871 0.269
S: 0.871 0.398 0.269
S: 0.129 0.129 0.731
S: 0.602 0.602 0.731
In: 0.000 0.000 0.000

---

Entry 3:
A relaxed TbSm3Ho2Se6 crystal. Source: Alexandria via LeMat-Bulk, functional PBE.

Summary:
* ΔE_f (raw): -1.78 eV/atom
* spin magnetization: 0.00 μB per formula unit

Lattice parameters (Å, degrees): 7.115 7.115 7.194 99.46 99.46 120.30
Element x y z (fractional)
Se: 0.416 0.080 0.241
Se: 0.920 0.584 0.759
Se: 0.080 0.416 0.241
Se: 0.744 0.744 0.239
Se: 0.584 0.920 0.759
Se: 0.256 0.256 0.761
Ho: 0.334 0.666 0.000
Ho: 0.666 0.334 0.000
Sm: 0.835 0.165 0.500
Sm: 0.165 0.835 0.500
Sm: 0.500 0.500 0.500
Tb: 0.000 0.000 0.000

---

Entry 4:
A relaxed AcNdCo4 crystal. Source: Alexandria via LeMat-Bulk, functional PBE.

Summary:
* E above lowest polymorph: 0 meV/atom
* spin magnetization: 2.91 μB per formula unit
* formation energy: -21.9 meV/atom

Lattice parameters (Å, degrees): 3.943 5.871 5.871 71.42 70.37 70.37
Element x y z (fractional)
Co: 0.254 0.079 0.412
Co: 0.746 0.588 0.921
Co: 0.746 0.921 0.588
Co: 0.254 0.412 0.079
Nd: 0.000 0.000 0.000
Ac: 0.500 0.500 0.500

---

Calculated density: 5.376, 4.348, 7.910, 8.594 (g cm⁻³)
Volume: 37.449, 20.292, 24.731, 19.546 (Å³/atom)